Dy6MgTe3As2 | Alexandria via LeMat-Bulk | PBE-GGA | optimized geometry; total magnetization = 0.0 μB/cell; ΔE_f (raw) = -1.134 eV per atom
1.0
9.2870 -2.1087 0.0000
9.2870 2.1087 0.0000
-1.7272 0.0000 8.5260
Dy Mg Te As
6 1 3 2
Cartesian
-0.2072 0.0000 2.2443 Dy
5.3289 0.0000 3.6495 Dy
4.5610 0.0000 7.5240 Dy
12.2859 0.0000 1.0020 Dy
11.5179 0.0000 4.8765 Dy
17.0540 0.0000 6.2816 Dy
9.2870 0.0000 0.0000 Mg
1.5396 0.0000 7.1460 Te
8.4234 0.0000 4.2630 Te
15.3072 0.0000 1.3800 Te
2.5742 0.0000 2.9233 As
14.2727 0.0000 5.6026 As